Record 1
Computed, not measured: MnTeBr2 at its PBEsol-relaxed geometry at the SCAN level of DFT.

For the uncorrected formation energy, the calculation gives -210 kJ/mol of formula units. The space group is Imm2. The density of states at the Fermi level comes out at 0.29 states/eV/atom. For the volume, the calculation gives 133 Å³ per cell. The value obtained for the total DFT energy (no corrections) is -24.15 eV/atom. For the magnetization, the calculation gives 4.32 μB per formula unit.

Cell lengths 3.6165, 5.6241, 7.3328 Å; angles 112.55, 104.28, 90.00 degrees
Each line ends with the local moment (μB).
Fractional positions:
Te: 0.8824 0.3824 0.7648  -0.18
Br: 0.9256 0.9256 0.8513  0.00
Mn: 0.5302 0.5302 0.0605  4.24
Br: 0.1617 0.6617 0.3235  0.04

=====

Record 2
Computed, not measured: MnTe2Br at its PBEsol-relaxed geometry at the SCAN level of DFT.

For the uncorrected formation energy, the calculation gives -26 kJ/mol of formula units. The space group is Pmmm. The density of states at the Fermi level comes out at 0.36 states/eV/atom. For the volume, the calculation gives 107 Å³ per cell. The value obtained for the total DFT energy (no corrections) is -28.12 eV/atom. For the magnetization, the calculation gives 5.16 μB per formula unit.

Cell lengths 4.1003, 4.2301, 6.1632 Å; angles 90.00, 90.00, 90.00 degrees
Each line ends with the local moment (μB).
Fractional positions:
Mn: 0.0000 0.5000 0.5000  4.65
Br: 0.5000 0.0000 0.5000  0.03
Te: 0.0000 0.0000 0.0000  0.03
Te: 0.5000 0.5000 0.0000  0.03

=====

Record 3
Computed, not measured: Th6MnBr15 at its PBEsol-relaxed geometry at the SCAN level of DFT.

For the uncorrected formation energy, the calculation gives -3518 kJ/mol of formula units. The space group is Im-3m. The density of states at the Fermi level comes out at 0.25 states/eV/atom. For the volume, the calculation gives 752 Å³ per cell. The value obtained for the total DFT energy (no corrections) is -41.91 eV/atom. For the magnetization, the calculation gives 2.06 μB per formula unit.

Cell lengths 9.9215, 9.9215, 9.9215 Å; angles 109.47, 109.47, 109.47 degrees
Each line ends with the local moment (μB).
Fractional positions:
Th: 0.7609 0.0000 0.7609  0.23
Br: 0.0000 0.2531 0.7469  0.00
Th: 0.7609 0.7609 0.0000  0.23
Mn: 0.0000 0.0000 0.0000  -0.27
Br: 0.2531 0.0000 0.7469  0.00
Th: 0.0000 0.7609 0.7609  0.23
Th: 0.2391 0.0000 0.2391  0.23
Th: 0.2391 0.2391 0.0000  0.23
Br: 0.7469 0.4939 0.7469  0.00
Br: 0.2531 0.5061 0.2531  0.00
Br: 0.5061 0.2531 0.2531  0.00
Br: 0.2531 0.2531 0.5061  0.00
Br: 0.5000 0.0000 0.5000  0.02
Br: 0.0000 0.5000 0.5000  0.02
Br: 0.7469 0.0000 0.2531  0.00
Br: 0.4939 0.7469 0.7469  0.00
Br: 0.7469 0.7469 0.4939  0.00
Br: 0.0000 0.7469 0.2531  0.00
Br: 0.7469 0.2531 0.0000  0.00
Th: 0.0000 0.2391 0.2391  0.23
Br: 0.2531 0.7469 0.0000  0.00
Br: 0.5000 0.5000 0.0000  0.02

=====

Record 4
Computed, not measured: Mn2TlBr at its PBEsol-relaxed geometry at the SCAN level of DFT.

For the uncorrected formation energy, the calculation gives 48 kJ/mol of formula units. The space group is P4/mmm. The density of states at the Fermi level comes out at 0.77 states/eV/atom. For the volume, the calculation gives 74 Å³ per cell. The value obtained for the total DFT energy (no corrections) is -31.96 eV/atom. For the magnetization, the calculation gives 8.25 μB per formula unit.

Cell lengths 3.1678, 3.1678, 7.3611 Å; angles 90.00, 90.00, 90.00 degrees
Each line ends with the local moment (μB).
Fractional positions:
Tl: 0.5000 0.5000 0.0000  -0.09
Br: 0.5000 0.5000 0.5000  0.10
Mn: 0.0000 0.0000 0.7394  4.03
Mn: 0.0000 0.0000 0.2606  4.03

=====

Record 5
Computed, not measured: MnTlBr3 at its PBEsol-relaxed geometry at the SCAN level of DFT.

For the uncorrected formation energy, the calculation gives -507 kJ/mol of formula units. The space group is Pm-3m. The density of states at the Fermi level comes out at 0.00 states/eV/atom. For the volume, the calculation gives 142 Å³ per cell. The value obtained for the total DFT energy (no corrections) is -30.85 eV/atom. For the magnetization, the calculation gives 5.00 μB per formula unit.

Cell lengths 5.2110, 5.2110, 5.2110 Å; angles 90.00, 90.00, 90.00 degrees
Each line ends with the local moment (μB).
Fractional positions:
Mn: 0.0000 0.0000 0.0000  4.53
Br: 0.5000 0.0000 0.0000  0.06
Br: 0.0000 0.0000 0.5000  0.06
Tl: 0.5000 0.5000 0.5000  0.00
Br: 0.0000 0.5000 0.0000  0.06

=====

Record 6
Computed, not measured: MnTlBr at its PBEsol-relaxed geometry at the SCAN level of DFT.

For the uncorrected formation energy, the calculation gives -59 kJ/mol of formula units. The space group is Fmm2. The density of states at the Fermi level comes out at 0.54 states/eV/atom. For the volume, the calculation gives 74 Å³ per cell. The value obtained for the total DFT energy (no corrections) is -36.90 eV/atom. For the magnetization, the calculation gives 4.67 μB per formula unit.

Cell lengths 3.3890, 3.3890, 7.2079 Å; angles 98.32, 98.32, 112.62 degrees
Each line ends with the local moment (μB).
Fractional positions:
Mn: 0.6546 0.6546 0.3092  4.33
Tl: 0.3106 0.3106 0.6212  0.02
Br: 0.0348 0.0348 0.0696  0.08

=====

Record 7
Computed, not measured: Mn2TlBr at its PBEsol-relaxed geometry at the SCAN level of DFT.

For the uncorrected formation energy, the calculation gives -42 kJ/mol of formula units. The space group is P4mm. The density of states at the Fermi level comes out at 0.34 states/eV/atom. For the volume, the calculation gives 82 Å³ per cell. The value obtained for the total DFT energy (no corrections) is -32.19 eV/atom. For the magnetization, the calculation gives 8.23 μB per formula unit.

Cell lengths 3.2679, 3.2679, 7.6825 Å; angles 90.00, 90.00, 89.97 degrees
Each line ends with the local moment (μB).
Fractional positions:
Br: 0.5000 0.5000 0.1587  0.12
Tl: 0.0000 0.0000 0.5666  0.01
Mn: 0.0000 0.0000 0.9826  4.00
Mn: 0.5000 0.5000 0.7921  3.92

=====

Record 8
Computed, not measured: MnW2Br at its PBEsol-relaxed geometry at the SCAN level of DFT.

For the uncorrected formation energy, the calculation gives 435 kJ/mol of formula units. The space group is Fm-3m. The density of states at the Fermi level comes out at 0.61 states/eV/atom. For the volume, the calculation gives 59 Å³ per cell. The value obtained for the total DFT energy (no corrections) is -43.15 eV/atom. For the magnetization, the calculation gives 2.09 μB per formula unit.

Cell lengths 4.3684, 4.3684, 4.3684 Å; angles 60.00, 60.00, 60.00 degrees
Each line ends with the local moment (μB).
Fractional positions:
W: 0.7500 0.7500 0.7500  -0.28
W: 0.2500 0.2500 0.2500  -0.28
Mn: 0.0000 0.0000 0.0000  2.52
Br: 0.5000 0.5000 0.5000  0.12

=====

Record 9
Computed, not measured: Mn2WBr at its PBEsol-relaxed geometry at the SCAN level of DFT.

For the uncorrected formation energy, the calculation gives 98 kJ/mol of formula units. The space group is R-3m. The density of states at the Fermi level comes out at 0.53 states/eV/atom. For the volume, the calculation gives 63 Å³ per cell. The value obtained for the total DFT energy (no corrections) is -31.16 eV/atom. For the magnetization, the calculation gives 6.53 μB per formula unit.

Cell lengths 3.0838, 3.0838, 7.8318 Å; angles 78.65, 78.65, 60.00 degrees
Each line ends with the local moment (μB).
Fractional positions:
Br: 0.0000 0.0000 0.0000  0.09
W: 0.5000 0.5000 0.5000  -0.75
Mn: 0.2446 0.2446 0.2662  3.54
Mn: 0.7554 0.7554 0.7338  3.54

=====

Record 10
Computed, not measured: MnW2Br at its PBEsol-relaxed geometry at the SCAN level of DFT.

For the uncorrected formation energy, the calculation gives 423 kJ/mol of formula units. The space group is P4/mmm. The density of states at the Fermi level comes out at 0.48 states/eV/atom. For the volume, the calculation gives 58 Å³ per cell. The value obtained for the total DFT energy (no corrections) is -43.18 eV/atom. For the magnetization, the calculation gives 1.83 μB per formula unit.

Cell lengths 2.8739, 4.5034, 4.5034 Å; angles 90.00, 90.00, 90.00 degrees
Each line ends with the local moment (μB).
Fractional positions:
W: 0.0000 0.0000 0.5000  -0.44
Br: 0.5000 0.5000 0.5000  0.03
Mn: 0.5000 0.0000 0.0000  2.76
W: 0.0000 0.5000 0.0000  -0.44

=====

Record 11
Computed, not measured: Mn2WBr at its PBEsol-relaxed geometry at the SCAN level of DFT.

For the uncorrected formation energy, the calculation gives 172 kJ/mol of formula units. The space group is R3m. The density of states at the Fermi level comes out at 0.38 states/eV/atom. For the volume, the calculation gives 64 Å³ per cell. The value obtained for the total DFT energy (no corrections) is -30.97 eV/atom. For the magnetization, the calculation gives 4.87 μB per formula unit.

Cell lengths 3.0898, 3.0898, 7.9661 Å; angles 78.82, 78.82, 60.00 degrees
Each line ends with the local moment (μB).
Fractional positions:
Mn: 0.7543 0.7543 0.7370  1.42
W: 0.4851 0.4851 0.5446  -0.52
Br: 0.2543 0.2543 0.2372  0.02
Mn: 0.0063 0.0063 0.9812  3.98

=====

Record 12
Computed, not measured: MnW2Br at its PBEsol-relaxed geometry at the SCAN level of DFT.

For the uncorrected formation energy, the calculation gives 425 kJ/mol of formula units. The space group is Cm. The density of states at the Fermi level comes out at 0.74 states/eV/atom. For the volume, the calculation gives 59 Å³ per cell. The value obtained for the total DFT energy (no corrections) is -43.17 eV/atom. For the magnetization, the calculation gives 0.00 μB per formula unit.

Cell lengths 2.9194, 4.5931, 4.8471 Å; angles 107.86, 107.53, 90.00 degrees
Fractional positions:
W: 0.0262 0.0664 0.0524
Mn: 0.7487 0.1999 0.4974
W: 0.2435 0.7301 0.4869
Br: 0.4816 0.5035 0.9633